# Li4NiOF4

An optimized crystal structure of Li4NiOF4 (GGA+U, Alexandria via LeMat-Bulk).

Output
E   -4.80 eV/atom
N(E_F)   0.000 states/eV per cell

The structure in extended XYZ format:
```
10
Lattice="2.9080 0.0000 0.0000 0.0000 2.9080 0.0000 -1.4540 -1.4540 10.3719" Properties=species:S:1:pos:R:3 pbc="T T T"
Li 1.4540 1.4540 2.0956
Li 0.0000 0.0000 8.2763
Li 0.0000 0.0000 4.1822
Li 1.4540 1.4540 6.1898
Ni 0.0000 0.0000 0.0000
O 1.4540 1.4540 0.0000
F 0.0000 0.0000 2.1644
F 1.4540 1.4540 8.2075
F 1.4540 1.4540 4.1679
F 0.0000 0.0000 6.2040
```